Entry 1:
Computed, not measured: a geometry-optimized Dy7Bi2Ru2 structure at the PBE level of DFT.

Unit cell a=3.824 b=9.750 c=9.750 alpha=59.04 beta=78.69 gamma=78.69
Sites, in units of the cell vectors:
Dy 0.817 0.084 0.281
Dy 0.843 0.416 0.897
Dy 0.500 0.031 0.969
Dy 0.634 0.465 0.267
Dy 0.366 0.733 0.535
Dy 0.183 0.719 0.916
Dy 0.157 0.103 0.584
Bi 0.000 0.763 0.237
Bi 0.500 0.356 0.644
Ru 0.742 0.850 0.666
Ru 0.258 0.334 0.150

Its space group is No. 44.

Entry 2:
Computed, not measured: a geometry-optimized YHfTc structure at the PBE level of DFT.

Unit cell a=7.256 b=8.454 c=8.454 alpha=61.64 beta=64.59 gamma=64.59
Sites, in units of the cell vectors:
Y 0.257 0.960 0.460
Y 0.676 0.040 0.540
Y 0.676 0.540 0.040
Y 0.257 0.460 0.960
Y 0.838 0.250 0.750
Y 0.838 0.750 0.250
Hf 0.506 0.500 0.500
Hf 0.506 0.000 0.000
Hf 0.257 0.875 0.876
Hf 0.008 0.125 0.124
Hf 0.008 0.624 0.625
Hf 0.257 0.376 0.375
Tc 0.257 0.750 0.250
Tc 0.257 0.250 0.750
Tc 0.590 0.667 0.667
Tc 0.924 0.333 0.333
Tc 0.924 0.833 0.833
Tc 0.590 0.167 0.167

Its space group is No. 189.

Entry 3:
Computed, not measured: a geometry-optimized LiEuGa structure at the PBE level of DFT.

Unit cell a=3.521 b=4.859 c=4.859 alpha=120.00 beta=90.00 gamma=90.00
Sites, in units of the cell vectors:
Eu 0.667 0.333 0.667
Ga 0.167 0.000 0.000
Li 0.167 0.667 0.333

Its space group is No. 187.

| no. | VASP energy (eV/atom) | energy of formation (eV/atom) |
| --- | --- | --- |
| 1 | -5.80 | -0.48 |
| 2 | -9.05 | -0.12 |
| 3 | -5.34 | -0.26 |